Entry from Alexandria: a relaxed Li2Zr2O5 crystal (PBE).

Magnetic moment, μB per cell: 0.00
Formation energy from raw total energies, eV per atom: -2.837
Electronic total energy, eV/atom: -7.917
Polymorph energy (0 for the lowest one), meV/atom: 0
Volume, Å³ per cell: 428.6

```
data_Li2Zr2O5
_symmetry_space_group_name_H-M 'P 1 21/c 1'
_symmetry_Int_Tables_number 14
_cell_length_a 10.476
_cell_length_b 3.871
_cell_length_c 13.131
_cell_angle_alpha 90.00
_cell_angle_beta 126.39
_cell_angle_gamma 90.00
loop_
_symmetry_equiv_pos_as_xyz
'x,y,z'
'-x,-y,-z'
'-x,y+1/2,-z+1/2'
'x,-y+1/2,z+1/2'
loop_
_atom_site_label
_atom_site_type_symbol
_atom_site_fract_x
_atom_site_fract_y
_atom_site_fract_z
Li1 Li 0.021 0.242 0.434
Li2 Li 0.079 0.718 0.331
Zr1 Zr 0.324 0.705 0.131
Zr2 Zr 0.328 0.164 0.357
O1 O 0.100 0.747 0.492
O2 O 0.130 0.219 0.340
O3 O 0.271 0.689 0.270
O4 O 0.383 0.200 0.207
O5 O 0.414 0.685 0.024
```